Run w
This record from the Alexandria database describes an optimized crystal structure of As2SBrO. The functional is PBE.

abc: 4.4725 4.4725 4.6677
angles: 90.00 90.00 90.00
Space group P4/mmm (No. 123)
Inequivalent atoms, fractional coordinates:
As1 0.0000 0.5000 0.0000 [2 per cell]
S1 0.0000 0.0000 0.5000 [1 per cell]
Br1 0.5000 0.5000 0.5000 [1 per cell]
O1 0.5000 0.5000 0.0000 [1 per cell]

Calculated density: 4.9 g cm⁻³

Run x
This record from the Alexandria database describes an optimized crystal structure of As2SBrO. The functional is PBE.

abc: 4.8805 4.8805 5.0934
angles: 90.00 90.00 90.00
Space group P4/mmm (No. 123)
Inequivalent atoms, fractional coordinates:
As1 0.0000 0.5000 0.0000 [2 per cell]
S1 0.0000 0.0000 0.0000 [1 per cell]
Br1 0.0000 0.0000 0.5000 [1 per cell]
O1 0.5000 0.5000 0.5000 [1 per cell]

Calculated density: 3.8 g cm⁻³

So which one wins? Going from most stable to least: run w, run x.

Run w
This record from the Alexandria database describes an optimized crystal structure of SbAs2BrO. The functional is PBE.

abc: 4.5536 4.5536 4.7315
angles: 90.00 90.00 90.00
Space group P4/mmm (No. 123)
Inequivalent atoms, fractional coordinates:
Sb1 0.0000 0.0000 0.0000 [1 per cell]
As1 0.0000 0.5000 0.5000 [2 per cell]
Br1 0.5000 0.5000 0.0000 [1 per cell]
O1 0.5000 0.5000 0.5000 [1 per cell]

Calculated density: 6.2 g cm⁻³

Run x
This record from the Alexandria database describes an optimized crystal structure of SbAs2BrO. The functional is PBE.

abc: 5.4147 5.4147 5.6812
angles: 90.00 90.00 90.00
Space group P4/mmm (No. 123)
Inequivalent atoms, fractional coordinates:
Sb1 0.0000 0.0000 0.0000 [1 per cell]
As1 0.0000 0.5000 0.0000 [2 per cell]
Br1 0.0000 0.0000 0.5000 [1 per cell]
O1 0.5000 0.5000 0.5000 [1 per cell]

Calculated density: 3.7 g cm⁻³

So which one wins? Going from most stable to least: run w, run x.

Run w
This record from the Alexandria database describes an optimized crystal structure of As2SeBrO. The functional is PBE.

abc: 5.1132 5.1132 5.5163
angles: 90.00 90.00 90.00
Space group P4/mmm (No. 123)
Inequivalent atoms, fractional coordinates:
As1 0.0000 0.5000 0.0000 [2 per cell]
Se1 0.0000 0.0000 0.0000 [1 per cell]
Br1 0.0000 0.0000 0.5000 [1 per cell]
O1 0.5000 0.5000 0.5000 [1 per cell]

Calculated density: 3.7 g cm⁻³

Run x
This record from the Alexandria database describes an optimized crystal structure of As2SeBrO. The functional is PBE.

abc: 4.5166 4.5166 4.6876
angles: 90.00 90.00 90.00
Space group P4/mmm (No. 123)
Inequivalent atoms, fractional coordinates:
As1 0.0000 0.5000 0.0000 [2 per cell]
Se1 0.0000 0.0000 0.5000 [1 per cell]
Br1 0.5000 0.5000 0.5000 [1 per cell]
O1 0.5000 0.5000 0.0000 [1 per cell]

Calculated density: 5.6 g cm⁻³

Run y
This record from the Alexandria database describes an optimized crystal structure of As2SeBrO. The functional is PBE.

abc: 5.1613 5.1613 4.9244
angles: 90.00 90.00 90.00
Space group P4/mmm (No. 123)
Inequivalent atoms, fractional coordinates:
As1 0.0000 0.5000 0.0000 [2 per cell]
Se1 0.0000 0.0000 0.5000 [1 per cell]
Br1 0.0000 0.0000 0.0000 [1 per cell]
O1 0.5000 0.5000 0.5000 [1 per cell]

Calculated density: 4.1 g cm⁻³

So which one wins? Going from most stable to least: run x, run w, run y.

Run w
This record from the Alexandria database describes an optimized crystal structure of SiAs2BrO. The functional is PBE.

abc: 4.1289 4.1289 6.1005
angles: 90.00 90.00 90.00
Space group P4/mmm (No. 123)
Inequivalent atoms, fractional coordinates:
Si1 0.0000 0.0000 0.0000 [1 per cell]
As1 0.0000 0.5000 0.5000 [2 per cell]
Br1 0.5000 0.5000 0.0000 [1 per cell]
O1 0.5000 0.5000 0.5000 [1 per cell]

Calculated density: 4.4 g cm⁻³

Run x
This record from the Alexandria database describes an optimized crystal structure of SiAs2BrO. The functional is PBE.

abc: 4.8225 4.8225 4.9171
angles: 90.00 90.00 90.00
Space group P4/mmm (No. 123)
Inequivalent atoms, fractional coordinates:
Si1 0.0000 0.0000 0.0000 [1 per cell]
As1 0.0000 0.5000 0.0000 [2 per cell]
Br1 0.0000 0.0000 0.5000 [1 per cell]
O1 0.5000 0.5000 0.5000 [1 per cell]

Calculated density: 4.0 g cm⁻³

So which one wins? Going from most stable to least: run w, run x.

Run w
This record from the Alexandria database describes an optimized crystal structure of SnAs2BrO. The functional is PBE.

abc: 4.2297 4.2297 6.2687
angles: 90.00 90.00 90.00
Space group P4/mmm (No. 123)
Inequivalent atoms, fractional coordinates:
Sn1 0.0000 0.0000 0.0000 [1 per cell]
As1 0.0000 0.5000 0.5000 [2 per cell]
Br1 0.5000 0.5000 0.0000 [1 per cell]
O1 0.5000 0.5000 0.5000 [1 per cell]

Calculated density: 5.4 g cm⁻³

Run x
This record from the Alexandria database describes an optimized crystal structure of SnAs2BrO. The functional is PBE.

abc: 5.3757 5.3757 5.6652
angles: 90.00 90.00 90.00
Space group P4/mmm (No. 123)
Inequivalent atoms, fractional coordinates:
Sn1 0.0000 0.0000 0.0000 [1 per cell]
As1 0.0000 0.5000 0.0000 [2 per cell]
Br1 0.0000 0.0000 0.5000 [1 per cell]
O1 0.5000 0.5000 0.5000 [1 per cell]

Calculated density: 3.7 g cm⁻³

So which one wins? Going from most stable to least: run w, run x.

Run w
This record from the Alexandria database describes an optimized crystal structure of SnAsBrO2. The functional is PBE.

abc: 3.9916 3.9916 6.0025
angles: 90.00 90.00 90.00
Space group P4/mmm (No. 123)
Inequivalent atoms, fractional coordinates:
Sn1 0.0000 0.0000 0.0000 [1 per cell]
As1 0.0000 0.0000 0.5000 [1 per cell]
Br1 0.5000 0.5000 0.5000 [1 per cell]
O1 0.0000 0.5000 0.0000 [2 per cell]

Calculated density: 5.3 g cm⁻³

Run x
This record from the Alexandria database describes an optimized crystal structure of SnAsBrO2. The functional is PBE.

abc: 6.9181 4.0913 8.0824
angles: 90.00 104.37 90.00
Space group P2_1/m (No. 11)
Inequivalent atoms, fractional coordinates:
Sn1 0.0427 0.2500 0.3098 [2 per cell]
As1 0.4335 0.7500 0.6234 [2 per cell]
Br1 0.2114 0.2500 0.8911 [2 per cell]
O1 0.1643 0.7500 0.5222 [2 per cell]
O2 0.4684 0.2500 0.5700 [2 per cell]

Calculated density: 4.6 g cm⁻³

So which one wins? Going from most stable to least: run x, run w.

Run w
This record from the Alexandria database describes an optimized crystal structure of SrAs2BrO. The functional is PBE.

abc: 4.2648 4.2648 6.4575
angles: 90.00 90.00 90.00
Space group P4/mmm (No. 123)
Inequivalent atoms, fractional coordinates:
Sr1 0.0000 0.0000 0.0000 [1 per cell]
As1 0.0000 0.5000 0.5000 [2 per cell]
Br1 0.5000 0.5000 0.0000 [1 per cell]
O1 0.5000 0.5000 0.5000 [1 per cell]

Calculated density: 4.7 g cm⁻³

Run x
This record from the Alexandria database describes an optimized crystal structure of SrAs2BrO. The functional is PBE.

abc: 6.5033 6.5033 5.8647
angles: 90.00 90.00 90.00
Space group P4/mmm (No. 123)
Inequivalent atoms, fractional coordinates:
Sr1 0.0000 0.0000 0.0000 [1 per cell]
As1 0.0000 0.5000 0.0000 [2 per cell]
Br1 0.0000 0.0000 0.5000 [1 per cell]
O1 0.5000 0.5000 0.5000 [1 per cell]

Calculated density: 2.2 g cm⁻³

So which one wins? Going from most stable to least: run w, run x.

Run w
This record from the Alexandria database describes an optimized crystal structure of TaAs2BrO. The functional is PBE.

abc: 4.0830 4.0830 5.3197
angles: 90.00 90.00 90.00
Space group P4/mmm (No. 123)
Inequivalent atoms, fractional coordinates:
Ta1 0.0000 0.0000 0.0000 [1 per cell]
As1 0.0000 0.5000 0.5000 [2 per cell]
Br1 0.5000 0.5000 0.0000 [1 per cell]
O1 0.5000 0.5000 0.5000 [1 per cell]

Calculated density: 8.0 g cm⁻³

Run x
This record from the Alexandria database describes an optimized crystal structure of TaAs2BrO. The functional is PBE.

abc: 4.9956 4.9956 5.1572
angles: 90.00 90.00 90.00
Space group P4/mmm (No. 123)
Inequivalent atoms, fractional coordinates:
Ta1 0.0000 0.0000 0.0000 [1 per cell]
As1 0.0000 0.5000 0.0000 [2 per cell]
Br1 0.0000 0.0000 0.5000 [1 per cell]
O1 0.5000 0.5000 0.5000 [1 per cell]

Calculated density: 5.5 g cm⁻³

So which one wins? Going from most stable to least: run w, run x.

Run w
This record from the Alexandria database describes an optimized crystal structure of TeAs2BrO. The functional is PBE.

abc: 4.5784 4.5784 4.7597
angles: 90.00 90.00 90.00
Space group P4/mmm (No. 123)
Inequivalent atoms, fractional coordinates:
Te1 0.0000 0.0000 0.0000 [1 per cell]
As1 0.0000 0.5000 0.5000 [2 per cell]
Br1 0.5000 0.5000 0.0000 [1 per cell]
O1 0.5000 0.5000 0.5000 [1 per cell]

Calculated density: 6.2 g cm⁻³

Run x
This record from the Alexandria database describes an optimized crystal structure of TeAs2BrO. The functional is PBE.

abc: 5.4782 5.4782 5.7347
angles: 90.00 90.00 90.00
Space group P4/mmm (No. 123)
Inequivalent atoms, fractional coordinates:
Te1 0.0000 0.0000 0.0000 [1 per cell]
As1 0.0000 0.5000 0.0000 [2 per cell]
Br1 0.0000 0.0000 0.5000 [1 per cell]
O1 0.5000 0.5000 0.5000 [1 per cell]

Calculated density: 3.6 g cm⁻³

So which one wins? Going from most stable to least: run w, run x.

Run w
This record from the Alexandria database describes an optimized crystal structure of TiAs2BrO. The functional is PBE.

abc: 4.9320 4.9320 4.9035
angles: 90.00 90.00 90.00
Space group P4/mmm (No. 123)
Inequivalent atoms, fractional coordinates:
Ti1 0.0000 0.0000 0.0000 [1 per cell]
As1 0.0000 0.5000 0.0000 [2 per cell]
Br1 0.0000 0.0000 0.5000 [1 per cell]
O1 0.5000 0.5000 0.5000 [1 per cell]

Calculated density: 4.1 g cm⁻³

Run x
This record from the Alexandria database describes an optimized crystal structure of TiAs2BrO. The functional is PBE.

abc: 4.0906 4.0906 5.5992
angles: 90.00 90.00 90.00
Space group P4/mmm (No. 123)
Inequivalent atoms, fractional coordinates:
Ti1 0.0000 0.0000 0.0000 [1 per cell]
As1 0.0000 0.5000 0.5000 [2 per cell]
Br1 0.5000 0.5000 0.0000 [1 per cell]
O1 0.5000 0.5000 0.5000 [1 per cell]

Calculated density: 5.2 g cm⁻³

So which one wins? Going from most stable to least: run x, run w.